No. 1
Sc2In2Ga: optimized geometry, PBE-GGA.

Summary:
calculated formation energy	-294	meV per atom
symmetry	No. 127

Cell and atoms, written as CIF:
```
data_Sc2In2Ga
_cell_length_a 7.138
_cell_length_b 7.138
_cell_length_c 4.440
_cell_angle_alpha 90.00
_cell_angle_beta 90.00
_cell_angle_gamma 90.00
_symmetry_space_group_name_H-M 'P 1'
_symmetry_Int_Tables_number 1
loop_
_symmetry_equiv_pos_as_xyz
'x,y,z'
loop_
_atom_site_label
_atom_site_type_symbol
_atom_site_fract_x
_atom_site_fract_y
_atom_site_fract_z
Sc1 Sc 0.334 0.166 0.500
Ga1 Ga 0.000 0.000 0.000
Ga2 Ga 0.500 0.500 0.000
In1 In 0.640 0.140 0.000
Sc2 Sc 0.834 0.334 0.500
Sc3 Sc 0.166 0.666 0.500
In2 In 0.140 0.360 0.000
Sc4 Sc 0.666 0.834 0.500
In3 In 0.860 0.640 0.000
In4 In 0.360 0.860 0.000
```

=====

No. 2
BaMgTe2N: optimized geometry, PBE-GGA.

Summary:
energy relative to the elements, uncorrected	-0.2477	eV/atom
symmetry	No. 123

Cell and atoms, written as CIF:
```
data_BaMgTe2N
_cell_length_a 6.033
_cell_length_b 6.033
_cell_length_c 4.080
_cell_angle_alpha 90.00
_cell_angle_beta 90.00
_cell_angle_gamma 90.00
_symmetry_space_group_name_H-M 'P 1'
_symmetry_Int_Tables_number 1
loop_
_symmetry_equiv_pos_as_xyz
'x,y,z'
loop_
_atom_site_label
_atom_site_type_symbol
_atom_site_fract_x
_atom_site_fract_y
_atom_site_fract_z
Te1 Te 0.000 0.500 0.000
N1 N 0.000 0.000 0.500
Mg1 Mg 0.000 0.000 0.000
Ba1 Ba 0.500 0.500 0.500
Te2 Te 0.500 0.000 0.000
```

=====

No. 3
Pr7ErMg2: optimized geometry, PBE-GGA.

Summary:
calculated formation energy	503	meV per atom
symmetry	No. 65

Cell and atoms, written as CIF:
```
data_Pr7ErMg2
_cell_length_a 5.359
_cell_length_b 9.548
_cell_length_c 9.548
_cell_angle_alpha 123.93
_cell_angle_beta 90.00
_cell_angle_gamma 90.00
_symmetry_space_group_name_H-M 'P 1'
_symmetry_Int_Tables_number 1
loop_
_symmetry_equiv_pos_as_xyz
'x,y,z'
loop_
_atom_site_label
_atom_site_type_symbol
_atom_site_fract_x
_atom_site_fract_y
_atom_site_fract_z
Pr1 Pr 0.000 0.212 0.788
Pr2 Pr 0.500 0.298 0.070
Pr3 Pr 0.500 0.070 0.298
Mg1 Mg 0.500 0.701 0.299
Pr4 Pr 0.500 0.930 0.702
Mg2 Mg 0.500 0.299 0.701
Pr5 Pr 0.000 0.788 0.212
Er1 Er 0.000 0.000 0.000
Pr6 Pr 0.500 0.500 0.500
Pr7 Pr 0.500 0.702 0.930
```

=====

No. 4
CaZr7: optimized geometry, PBE-GGA.

Summary:
calculated formation energy	185	meV per atom
symmetry	No. 225

Cell and atoms, written as CIF:
```
data_CaZr7
_cell_length_a 6.480
_cell_length_b 6.480
_cell_length_c 6.480
_cell_angle_alpha 60.00
_cell_angle_beta 60.00
_cell_angle_gamma 60.00
_symmetry_space_group_name_H-M 'P 1'
_symmetry_Int_Tables_number 1
loop_
_symmetry_equiv_pos_as_xyz
'x,y,z'
loop_
_atom_site_label
_atom_site_type_symbol
_atom_site_fract_x
_atom_site_fract_y
_atom_site_fract_z
Zr1 Zr 0.000 0.500 0.500
Zr2 Zr 0.500 0.000 0.000
Zr3 Zr 0.500 0.000 0.500
Ca1 Ca 0.000 0.000 0.000
Zr4 Zr 0.500 0.500 0.500
Zr5 Zr 0.000 0.000 0.500
Zr6 Zr 0.500 0.500 0.000
Zr7 Zr 0.000 0.500 0.000
```

=====

No. 5
LiBe2Tc: optimized geometry, PBE-GGA.

Summary:
calculated formation energy	175	meV per atom
symmetry	No. 10

Cell and atoms, written as CIF:
```
data_LiBe2Tc
_cell_length_a 2.417
_cell_length_b 4.852
_cell_length_c 4.735
_cell_angle_alpha 55.00
_cell_angle_beta 90.00
_cell_angle_gamma 90.00
_symmetry_space_group_name_H-M 'P 1'
_symmetry_Int_Tables_number 1
loop_
_symmetry_equiv_pos_as_xyz
'x,y,z'
loop_
_atom_site_label
_atom_site_type_symbol
_atom_site_fract_x
_atom_site_fract_y
_atom_site_fract_z
Tc1 Tc 0.000 0.000 0.500
Li1 Li 0.500 0.500 0.500
Be1 Be 0.500 0.500 0.000
Be2 Be 0.000 0.000 0.000
```

=====

No. 6
Dy2HoAg: optimized geometry, PBE-GGA.

Summary:
calculated formation energy	-12	meV per atom
symmetry	No. 160

Cell and atoms, written as CIF:
```
data_Dy2HoAg
_cell_length_a 3.572
_cell_length_b 3.572
_cell_length_c 10.543
_cell_angle_alpha 80.25
_cell_angle_beta 80.25
_cell_angle_gamma 60.00
_symmetry_space_group_name_H-M 'P 1'
_symmetry_Int_Tables_number 1
loop_
_symmetry_equiv_pos_as_xyz
'x,y,z'
loop_
_atom_site_label
_atom_site_type_symbol
_atom_site_fract_x
_atom_site_fract_y
_atom_site_fract_z
Dy1 Dy 0.075 0.075 0.774
Ho1 Ho 0.500 0.500 0.500
Dy2 Dy 0.258 0.258 0.226
Ag1 Ag 0.667 0.667 0.000
```